Density functional theory data (PBE) for a geometry-optimized BaHoMg2Pb4 structure.

Calculated values
Its density of states at the Fermi level is 5.241 states/eV per cell. Its total energy is -26.6 eV per formula unit. The value obtained for the formation energy is -2.1 eV/f.u.

Unit cell a=5.2032 b=5.2032 c=11.0809 alpha=76.42 beta=76.42 gamma=60.00
Sites, in units of the cell vectors:
Pb (0.1311, 0.1311, 0.6066)
Pb (0.3976, 0.3976, 0.8072)
Pb (0.6024, 0.6024, 0.1928)
Pb (0.8689, 0.8689, 0.3934)
Mg (0.2409, 0.2409, 0.2773)
Mg (0.7591, 0.7591, 0.7227)
Ho (0.5000, 0.5000, 0.5000)
Ba (0.0000, 0.0000, 0.0000)